This record from OQMD describes a relaxed PmHO2 crystal. The functional is PBE-GGA.

The structure in extended XYZ format:
```
16
Lattice="-3.8795 -0.3752 -10.2300 0.9532 -3.5494 -0.2313 -4.6501 -1.3671 1.8136" Properties=species:S:1:pos:R:3 pbc="T T T"
H -2.8135 -1.3221 -5.9636
H -1.7837 -1.4020 -0.4937
H -5.7926 -3.8897 -8.1540
H -4.7629 -3.9696 -2.6841
O -1.0944 -2.9522 -3.1769
O -0.8107 -1.1384 -0.5281
O -3.5585 -1.5636 -5.3280
O -4.1913 -3.4800 -7.8406
O -3.3851 -1.8116 -0.8071
O -4.0179 -3.7281 -3.3198
O -6.7657 -4.1532 -8.1196
O -6.4820 -2.3394 -5.4708
Pm -3.6725 -1.3819 -8.5852
Pm -2.8782 -1.5311 -3.0235
Pm -4.6981 -3.7606 -5.6243
Pm -3.9039 -3.9097 -0.0625
```

Summary:
V: 13.0 Å³/atom
Density: 5.667 g/cm³
E: -7.046 eV per atom

=====

This record from OQMD describes a relaxed PrTlFeSe3 crystal. The functional is PBE-GGA.

The structure in extended XYZ format:
```
12
Lattice="8.5390 0.0000 0.0000 0.0000 4.1709 0.0000 -3.1643 0.0000 10.1180" Properties=species:S:1:pos:R:3 pbc="T T T"
Fe 2.3862 3.1282 4.1945
Fe 2.9884 1.0427 5.9235
Pr 1.1987 1.0427 1.4333
Pr 4.1759 3.1282 8.6847
Se 7.6193 3.1282 1.4951
Se 3.2720 3.1282 1.9162
Se 0.9682 1.0427 4.5072
Se 4.4064 3.1282 5.6108
Se 2.1026 1.0427 8.2018
Se -2.2447 1.0427 8.6230
Tl 5.6019 1.0427 3.0265
Tl -0.2273 3.1282 7.0915
```

Summary:
V: 30.0 Å³/atom
Density: 5.880 g/cm³
E: -5.243 eV per atom
ΔE to the lowest computed polymorph: 3 meV/atom

=====

Q: V of number 2 (PrTlFeSe3)?
A: 30.0 Å³/atom

=====

Q: Among the records above, which one has the highest E?
A: PrTlFeSe3